# 1
Computed, not measured: an optimized crystal structure of CoRuAu2 at the GGA-PBE level of DFT.

a b c (Å): 4.8544 4.8544 4.9025
angles (deg): 101.35 101.35 33.03
Sites, in units of the cell vectors:
Co (0.0000, 0.0000, 0.0000)
Ru (0.7273, 0.7273, 0.2110)
Au (0.2495, 0.2495, 0.7373)
Au (0.4855, 0.4855, 0.4718)

Properties
DFT total energy ... -21.5 eV/cell
Space-group type ... Cm
Energy of formation from the pure elements ... 0.35 eV/atom

# 2
Computed, not measured: an optimized crystal structure of NdBRh at the GGA-PBE level of DFT.

a b c (Å): 5.4958 6.7751 6.9733
angles (deg): 90.00 121.12 90.00
Sites, in units of the cell vectors:
Nd (0.1606, 0.0827, 0.3356)
Nd (0.1606, 0.4173, 0.8356)
Nd (0.8394, 0.5827, 0.1644)
Nd (0.8394, 0.9173, 0.6644)
B (0.4155, 0.6504, 0.2959)
B (0.4155, 0.8496, 0.7959)
B (0.5845, 0.1504, 0.2041)
B (0.5845, 0.3496, 0.7041)
Rh (0.4037, 0.6300, 0.5940)
Rh (0.4037, 0.8700, 0.0940)
Rh (0.5963, 0.1300, 0.9060)
Rh (0.5963, 0.3700, 0.4060)

Properties
DFT total energy ... -81.9 eV/cell
Space-group type ... P2_1/c
Energy of formation from the pure elements ... -0.56 eV/atom
Offset from the most stable computed form ... 0.000 eV per atom

# 3
Computed, not measured: an optimized crystal structure of PrAg5S4 at the GGA-PBE level of DFT.

a b c (Å): 4.2735 7.4448 8.1834
angles (deg): 115.22 102.54 95.86
Sites, in units of the cell vectors:
Pr (0.0000, 0.0000, 0.0000)
Ag (0.0000, 0.5000, 0.0000)
Ag (0.3105, 0.5908, 0.6433)
Ag (0.3323, 0.0452, 0.6414)
Ag (0.6677, 0.9548, 0.3586)
Ag (0.6895, 0.4092, 0.3567)
S (0.2086, 0.2064, 0.4131)
S (0.4465, 0.7373, 0.0007)
S (0.5535, 0.2627, 0.9993)
S (0.7914, 0.7936, 0.5869)

Properties
DFT total energy ... -40.5 eV/cell
Space-group type ... P-1
Raw formation energy ... -0.496 eV/atom

# 4
Computed, not measured: an optimized crystal structure of Na2TaC at the GGA-PBE level of DFT.

a b c (Å): 7.4099 7.4099 7.4099
angles (deg): 94.39 94.39 147.89
Sites, in units of the cell vectors:
Na (0.3750, 0.2196, 0.3446)
Na (0.7804, 0.1250, 0.1554)
Na (0.8750, 0.0304, 0.6554)
Na (0.9696, 0.6250, 0.8446)
Ta (0.2500, 0.7500, 0.5000)
Ta (0.5000, 0.5000, 0.0000)
C (0.0000, 0.0000, 0.0000)
C (0.7500, 0.2500, 0.5000)

Properties
DFT total energy ... -38.7 eV/cell
Space-group type ... I-42d
Energy of formation from the pure elements ... 1.09 eV/atom

# 5
Computed, not measured: an optimized crystal structure of Na2ZrMo at the GGA-PBE level of DFT.

a b c (Å): 6.5428 6.5428 6.5428
angles (deg): 98.83 98.83 133.86
Sites, in units of the cell vectors:
Na (0.1060, 0.6250, 0.9810)
Na (0.3750, 0.3560, 0.4810)
Na (0.6440, 0.1250, 0.0190)
Na (0.8750, 0.8940, 0.5190)
Zr (0.2500, 0.7500, 0.5000)
Zr (0.5000, 0.5000, 0.0000)
Mo (0.0000, 0.0000, 0.0000)
Mo (0.7500, 0.2500, 0.5000)

Properties
DFT total energy ... -34.4 eV/cell
Space-group type ... I-42d
Energy of formation from the pure elements ... 1.20 eV/atom
Offset from the most stable computed form ... 0.000 eV per atom

# 6
Computed, not measured: an optimized crystal structure of CsZnP2Se at the GGA-PBE level of DFT.

a b c (Å): 3.6074 5.5030 8.2377
angles (deg): 90.74 95.40 90.05
Sites, in units of the cell vectors:
Cs (0.0000, 0.0000, 0.0000)
Zn (0.0822, 0.5315, 0.3890)
P (0.4014, 0.7178, 0.6445)
P (0.8964, 0.4723, 0.6698)
Se (0.5415, 0.5027, 0.2005)

Properties
DFT total energy ... -18.1 eV/cell
Space-group type ... P1
Raw formation energy ... -0.340 eV/atom
Offset from the most stable computed form ... 0.049 eV per atom

# 7
Computed, not measured: an optimized crystal structure of Li2ZrSb2 at the GGA-PBE level of DFT.

a b c (Å): 7.9715 7.9715 7.9715
angles (deg): 152.93 152.93 38.65
Sites, in units of the cell vectors:
Li (0.2500, 0.7500, 0.5000)
Li (0.7500, 0.2500, 0.5000)
Zr (0.0000, 0.0000, 0.0000)
Sb (0.3899, 0.3899, 0.0000)
Sb (0.6101, 0.6101, 0.0000)

Properties
DFT total energy ... -22.8 eV/cell
Space-group type ... I4/mmm
Raw formation energy ... -0.429 eV/atom

# 8
Computed, not measured: an optimized crystal structure of HfTlN2 at the GGA-PBE level of DFT.

a b c (Å): 6.8569 6.8569 6.8569
angles (deg): 28.18 28.18 28.18
Sites, in units of the cell vectors:
Hf (0.0000, 0.0000, 0.0000)
Tl (0.5000, 0.5000, 0.5000)
N (0.3875, 0.3875, 0.3875)
N (0.6125, 0.6125, 0.6125)

Properties
DFT total energy ... -30.8 eV/cell
Space-group type ... R-3m
Raw formation energy ... -0.462 eV/atom
Offset from the most stable computed form ... 0.000 eV per atom

# 9
Computed, not measured: an optimized crystal structure of BaP2BrCl at the GGA-PBE level of DFT.

a b c (Å): 4.8203 4.8203 6.3876
angles (deg): 90.00 90.00 90.00
Sites, in units of the cell vectors:
Ba (0.0000, 0.0000, 0.0000)
P (0.0000, 0.5000, 0.5000)
P (0.5000, 0.0000, 0.5000)
Br (0.5000, 0.5000, 0.5000)
Cl (0.5000, 0.5000, 0.0000)

Properties
DFT total energy ... -16.7 eV/cell
Space-group type ... P4/mmm
Raw formation energy ... -0.082 eV/atom
Offset from the most stable computed form ... 0.000 eV per atom

# 10
Computed, not measured: an optimized crystal structure of CeScCu10 at the GGA-PBE level of DFT.

a b c (Å): 4.1199 4.9966 8.6190
angles (deg): 90.00 90.00 90.00
Sites, in units of the cell vectors:
Ce (0.0000, 0.0000, 0.0000)
Sc (0.0000, 0.5000, 0.5000)
Cu (0.0000, 0.0000, 0.3417)
Cu (0.0000, 0.0000, 0.6583)
Cu (0.0000, 0.5000, 0.1771)
Cu (0.0000, 0.5000, 0.8229)
Cu (0.5000, 0.0000, 0.5000)
Cu (0.5000, 0.2532, 0.2564)
Cu (0.5000, 0.2532, 0.7436)
Cu (0.5000, 0.5000, 0.0000)
Cu (0.5000, 0.7468, 0.2564)
Cu (0.5000, 0.7468, 0.7436)

Properties
DFT total energy ... -54.7 eV/cell
Space-group type ... Pmmm
Energy of formation from the pure elements ... -0.12 eV/atom

# 11
Computed, not measured: an optimized crystal structure of MnZn2CdS at the GGA-PBE level of DFT.

a b c (Å): 5.0910 5.0910 5.0547
angles (deg): 90.00 90.00 90.00
Sites, in units of the cell vectors:
Mn (0.0000, 0.0000, 0.0000)
Zn (0.0000, 0.5000, 0.5000)
Zn (0.5000, 0.0000, 0.5000)
Cd (0.5000, 0.5000, 0.5000)
S (0.5000, 0.5000, 0.0000)

Properties
DFT total energy ... -12.8 eV/cell
Space-group type ... P4/mmm
Raw formation energy ... 0.800 eV/atom

# 12
Computed, not measured: an optimized crystal structure of Sr3Li at the GGA-PBE level of DFT.

a b c (Å): 7.5940 7.5940 7.5940
angles (deg): 146.23 128.55 62.97
Sites, in units of the cell vectors:
Sr (0.0000, 0.0000, 0.0000)
Sr (0.2823, 0.7823, 0.5000)
Sr (0.7177, 0.2177, 0.5000)
Li (0.5000, 0.5000, 0.0000)

Properties
DFT total energy ... -6.8 eV/cell
Space-group type ... Immm
Energy of formation from the pure elements ... 0.04 eV/atom
Offset from the most stable computed form ... 0.000 eV per atom